<1>
The following is a DFT calculation (PBE-GGA) of YRe2Hg2 after structural relaxation.

Unit cell a=4.402 b=4.402 c=11.417 alpha=90.00 beta=90.00 gamma=90.00
Space group I4/mmm (No. 139)
Unique sites:
Y (0.000, 0.000, 0.000)
Re (0.000, 0.000, 0.403)
Hg (0.000, 0.500, 0.250)

---

<2>
The following is a DFT calculation (PBE-GGA) of YRe2Hg2 after structural relaxation.

Unit cell a=8.169 b=8.169 c=3.041 alpha=90.00 beta=90.00 gamma=90.00
Space group P4/mbm (No. 127)
Unique sites:
Y (0.000, 0.000, 0.000)
Re (0.102, 0.398, 0.000)
Hg (0.189, 0.689, 0.500)

---

Top of the stability list: <1>, leading by 10.3 kJ/mol of atoms.

---

<1>
The following is a DFT calculation (PBE-GGA) of ZnRe3Hg after structural relaxation.

Unit cell a=4.530 b=4.530 c=4.530 alpha=90.00 beta=90.00 gamma=90.00
Space group Pm-3m (No. 221)
Unique sites:
Zn (0.000, 0.000, 0.000)
Re (0.000, 0.000, 0.500)
Hg (0.500, 0.500, 0.500)

---

<2>
The following is a DFT calculation (PBE-GGA) of ZnRe3Hg after structural relaxation.

Unit cell a=4.926 b=4.926 c=4.926 alpha=90.00 beta=90.00 gamma=90.00
Space group Pm-3m (No. 221)
Unique sites:
Zn (0.000, 0.000, 0.000)
Re (0.000, 0.500, 0.500)
Hg (0.500, 0.500, 0.500)

---

Top of the stability list: <1>, leading by 112.4 kJ/mol of atoms.

---

<1>
The following is a DFT calculation (PBE-GGA) of ZrReHg2 after structural relaxation.

Unit cell a=4.131 b=4.131 c=8.974 alpha=90.00 beta=90.00 gamma=90.00
Space group I4/mmm (No. 139)
Unique sites:
Zr (0.000, 0.000, 0.000)
Re (0.000, 0.000, 0.500)
Hg (0.000, 0.500, 0.250)

---

<2>
The following is a DFT calculation (PBE-GGA) of ZrReHg2 after structural relaxation.

Unit cell a=6.812 b=6.812 c=6.812 alpha=90.00 beta=90.00 gamma=90.00
Space group F-43m (No. 216)
Unique sites:
Zr (0.000, 0.000, 0.000)
Re (0.250, 0.250, 0.250)
Hg (0.000, 0.000, 0.500)
Hg (0.250, 0.250, 0.750)

---

Top of the stability list: <1>, leading by 24.7 kJ/mol of atoms.

---

<1>
The following is a DFT calculation (PBE-GGA) of ZrReHg2 after structural relaxation.

Unit cell a=3.0009 b=3.0009 c=29.9610 alpha=90.00 beta=90.00 gamma=120.00
Space group R-3m (No. 166, hexagonal axes)
Unique sites:
Zr (0.0000, 0.0000, 0.0000)
Re (0.0000, 0.0000, 0.5000)
Hg (0.0000, 0.0000, 0.2464)

---

<2>
The following is a DFT calculation (PBE-GGA) of ZrReHg2 after structural relaxation.

Unit cell a=4.028 b=4.028 c=20.920 alpha=90.00 beta=90.00 gamma=90.00
Space group I-42d (No. 122)
Unique sites:
Zr (0.000, 0.000, 0.000)
Re (0.000, 0.000, 0.500)
Hg (0.237, 0.250, 0.625)

---

<3>
The following is a DFT calculation (PBE-GGA) of ZrReHg2 after structural relaxation.

Unit cell a=10.126 b=3.199 c=4.952 alpha=90.00 beta=102.72 gamma=90.00
Space group C2/m (No. 12)
Unique sites:
Zr (0.000, 0.000, 0.000)
Re (0.000, 0.500, 0.500)
Hg (0.243, 0.000, 0.741)

---

<4>
The following is a DFT calculation (PBE-GGA) of ZrReHg2 after structural relaxation.

Unit cell a=3.005 b=4.281 c=6.155 alpha=90.00 beta=92.20 gamma=90.00
Space group Pm (No. 6)
Unique sites:
Zr (0.000, 0.000, 0.000)
Re (0.630, 0.500, 0.775)
Hg (0.104, 0.000, 0.530)
Hg (0.563, 0.500, 0.269)

---

Top of the stability list: <3>, leading by 2.3 kJ/mol of atoms.

---

<1>
The following is a DFT calculation (PBE-GGA) of ZrReHg2 after structural relaxation.

Unit cell a=2.939 b=2.939 c=8.915 alpha=90.00 beta=90.00 gamma=90.00
Space group P4/mmm (No. 123)
Unique sites:
Zr (0.000, 0.000, 0.000)
Re (0.000, 0.000, 0.500)
Hg (0.500, 0.500, 0.261)

---

<2>
The following is a DFT calculation (PBE-GGA) of ZrReHg2 after structural relaxation.

Unit cell a=4.229 b=4.229 c=8.631 alpha=90.00 beta=90.00 gamma=90.00
Space group I-4m2 (No. 119)
Unique sites:
Zr (0.000, 0.000, 0.000)
Re (0.000, 0.500, 0.250)
Hg (0.000, 0.000, 0.500)
Hg (0.000, 0.500, 0.750)

---

Top of the stability list: <2>, leading by 10.6 kJ/mol of atoms.

---

<1>
The following is a DFT calculation (PBE-GGA) of ZrReHg2 after structural relaxation.

Unit cell a=3.442 b=5.001 c=9.497 alpha=90.00 beta=90.00 gamma=90.00
Space group Cmm2 (No. 35)
Unique sites:
Zr (0.000, 0.000, 0.000)
Re (0.000, 0.500, 0.788)
Hg (0.000, 0.000, 0.539)
Hg (0.000, 0.500, 0.267)

---

<2>
The following is a DFT calculation (PBE-GGA) of ZrReHg2 after structural relaxation.

Unit cell a=5.784 b=9.224 c=2.887 alpha=90.00 beta=90.00 gamma=90.00
Space group Cmmm (No. 65)
Unique sites:
Zr (0.000, 0.000, 0.000)
Re (0.000, 0.500, 0.000)
Hg (0.250, 0.250, 0.500)

---

<3>
The following is a DFT calculation (PBE-GGA) of ZrReHg2 after structural relaxation.

Unit cell a=4.101 b=4.135 c=4.528 alpha=90.00 beta=90.00 gamma=90.00
Space group Pmmm (No. 47)
Unique sites:
Zr (0.000, 0.000, 0.000)
Re (0.500, 0.500, 0.000)
Hg (0.000, 0.500, 0.500)
Hg (0.500, 0.000, 0.500)

---

<4>
The following is a DFT calculation (PBE-GGA) of ZrReHg2 after structural relaxation.

Unit cell a=2.893 b=4.531 c=5.845 alpha=90.00 beta=91.91 gamma=90.00
Space group P2/m (No. 10)
Unique sites:
Zr (0.000, 0.000, 0.000)
Re (0.000, 0.000, 0.500)
Hg (0.489, 0.500, 0.743)

---

Top of the stability list: <1>, leading by 3.9 kJ/mol of atoms.

---

<1>
The following is a DFT calculation (PBE-GGA) of ZrReHg2 after structural relaxation.

Unit cell a=3.439 b=4.866 c=9.499 alpha=90.00 beta=90.00 gamma=90.00
Space group Imm2 (No. 44)
Unique sites:
Zr (0.000, 0.000, 0.000)
Re (0.000, 0.500, 0.284)
Hg (0.000, 0.000, 0.535)
Hg (0.000, 0.500, 0.775)

---

<2>
The following is a DFT calculation (PBE-GGA) of ZrReHg2 after structural relaxation.

Unit cell a=3.485 b=3.485 c=6.657 alpha=90.00 beta=90.00 gamma=90.00
Space group P4mm (No. 99)
Unique sites:
Zr (0.000, 0.000, 0.000)
Re (0.500, 0.500, 0.810)
Hg (0.000, 0.000, 0.549)
Hg (0.500, 0.500, 0.286)

---

Top of the stability list: <2>, leading by 7.8 kJ/mol of atoms.

---

<1>
The following is a DFT calculation (PBE-GGA) of ZrRe3Hg after structural relaxation.

Unit cell a=4.846 b=4.846 c=4.846 alpha=90.00 beta=90.00 gamma=90.00
Space group Pm-3m (No. 221)
Unique sites:
Zr (0.000, 0.000, 0.000)
Re (0.000, 0.500, 0.500)
Hg (0.500, 0.500, 0.500)

---

<2>
The following is a DFT calculation (PBE-GGA) of ZrRe3Hg after structural relaxation.

Unit cell a=4.831 b=4.831 c=4.831 alpha=90.00 beta=90.00 gamma=90.00
Space group Pm-3m (No. 221)
Unique sites:
Zr (0.000, 0.000, 0.000)
Re (0.000, 0.000, 0.500)
Hg (0.500, 0.500, 0.500)

---

Top of the stability list: <2>, leading by 14.6 kJ/mol of atoms.

---

<1>
The following is a DFT calculation (PBE-GGA) of Hg5Rh3 after structural relaxation.

Unit cell a=11.494 b=10.281 c=6.003 alpha=90.00 beta=117.55 gamma=90.00
Space group C2/c (No. 15)
Unique sites:
Hg (0.000, 0.044, 0.250)
Hg (0.092, 0.290, 0.572)
Hg (0.220, 0.430, 0.208)
Rh (0.000, 0.498, 0.750)
Rh (0.149, 0.169, 0.041)

---

<2>
The following is a DFT calculation (PBE-GGA) of Hg5Rh3 after structural relaxation.

Unit cell a=7.880 b=8.579 c=4.357 alpha=90.00 beta=90.00 gamma=90.00
Space group Cmmm (No. 65)
Unique sites:
Hg (0.000, 0.000, 0.000)
Hg (0.221, 0.500, 0.500)
Hg (0.250, 0.250, 0.000)
Rh (0.000, 0.229, 0.500)
Rh (0.000, 0.500, 0.000)

---

Top of the stability list: <2>, leading by 5.1 kJ/mol of atoms.

---

<1>
The following is a DFT calculation (PBE-GGA) of Hg5Rh4 after structural relaxation.

Unit cell a=8.1804 b=8.1804 c=5.6439 alpha=90.00 beta=90.00 gamma=120.00
Space group P6_3/mcm (No. 193)
Unique sites:
Hg (0.0000, 0.2994, 0.2500)
Hg (0.3333, 0.6667, 0.0000)
Rh (0.0000, 0.0000, 0.0000)
Rh (0.0000, 0.3618, 0.7500)

---

<2>
The following is a DFT calculation (PBE-GGA) of Hg5Rh4 after structural relaxation.

Unit cell a=8.722 b=8.722 c=4.252 alpha=90.00 beta=90.00 gamma=90.00
Space group I4/mmm (No. 139)
Unique sites:
Hg (0.000, 0.000, 0.000)
Hg (0.172, 0.172, 0.500)
Rh (0.000, 0.348, 0.000)

---

Top of the stability list: <2>, leading by 2.2 kJ/mol of atoms.

---

<1>
The following is a DFT calculation (PBE-GGA) of HgRuRh after structural relaxation.

Unit cell a=4.5008 b=4.5008 c=2.8263 alpha=90.00 beta=90.00 gamma=120.00
Space group P-6m2 (No. 187)
Unique sites:
Hg (0.0000, 0.0000, 0.0000)
Ru (0.3333, 0.6667, 0.5000)
Rh (0.6667, 0.3333, 0.5000)

---

<2>
The following is a DFT calculation (PBE-GGA) of HgRuRh after structural relaxation.

Unit cell a=6.125 b=6.125 c=6.125 alpha=90.00 beta=90.00 gamma=90.00
Space group F-43m (No. 216)
Unique sites:
Hg (0.000, 0.000, 0.000)
Ru (0.000, 0.000, 0.500)
Rh (0.250, 0.250, 0.250)

---

<3>
The following is a DFT calculation (PBE-GGA) of HgRuRh after structural relaxation.

Unit cell a=2.842 b=2.842 c=12.112 alpha=90.00 beta=90.00 gamma=90.00
Space group I4mm (No. 107)
Unique sites:
Hg (0.000, 0.000, 0.000)
Ru (0.000, 0.000, 0.682)
Rh (0.000, 0.000, 0.318)

---

<4>
The following is a DFT calculation (PBE-GGA) of HgRuRh after structural relaxation.

Unit cell a=2.8529 b=2.8529 c=6.9127 alpha=90.00 beta=90.00 gamma=120.00
Space group P3m1 (No. 156)
Unique sites:
Hg (0.0000, 0.0000, 0.0000)
Ru (0.6667, 0.3333, 0.6452)
Rh (0.3333, 0.6667, 0.3530)

---

Top of the stability list: <3>, leading by 7.3 kJ/mol of atoms.